(1)
Here is a relaxed structure of BaSc4Ni from Alexandria via LeMat-Bulk. Energies are from GGA-PBE.

The structure in extended XYZ format:
```
6
Lattice="-1.5810 -2.1383 5.5052 -1.7408 3.8725 4.3991 -5.8454 0.1727 1.7833" Properties=species:S:1:pos:R:3 pbc="T T T"
Ba -6.8754 1.4301 8.7657
Sc -4.2223 -0.3758 7.1568
Sc -6.3899 0.7989 5.2651
Sc -4.3036 2.6794 6.5946
Sc -3.4187 0.7111 4.3586
Ni 0.0000 0.0000 0.0000
```

electronic total energy = -4.87 eV per atom
energy of formation from the pure elements = 0.636 eV/atom
crystal system = cubic



(2)
Here is a relaxed structure of BaScNi2 from Alexandria via LeMat-Bulk. Energies are from GGA-PBE.

The structure in extended XYZ format:
```
4
Lattice="3.3892 0.0000 0.0000 0.0000 3.4506 0.0182 0.0000 3.4209 7.1964" Properties=species:S:1:pos:R:3 pbc="T T T"
Ba 1.6946 5.1536 5.4110
Ni 0.0000 3.4505 0.5457
Ni 0.0000 3.4359 3.0799
Sc 1.6946 1.7179 1.8037
```

electronic total energy = -5.06 eV per atom
energy of formation from the pure elements = -0.101 eV/atom
crystal system = monoclinic



(3)
Here is a relaxed structure of BaScNi3 from Alexandria via LeMat-Bulk. Energies are from GGA-PBE.

The structure in extended XYZ format:
```
5
Lattice="-4.3528 2.2290 -0.4186 -2.2105 -3.9673 1.8615 0.5070 1.8394 4.5222" Properties=species:S:1:pos:R:3 pbc="T T T"
Sc -3.0282 0.0505 2.9825
Ni -1.1053 -1.9836 0.9307
Ni 0.2535 0.9197 2.2611
Ni -2.1764 1.1145 -0.2093
Ba 0.0000 0.0000 0.0000
```

electronic total energy = -3.69 eV per atom
energy of formation from the pure elements = 1.432 eV/atom
crystal system = cubic



(4)
Here is a relaxed structure of BaScNi3 from Alexandria via LeMat-Bulk. Energies are from GGA-PBE.

The structure in extended XYZ format:
```
5
Lattice="-2.4272 -0.1835 -4.1629 2.8700 -3.5664 -1.5162 -3.0211 -3.2407 1.9043" Properties=species:S:1:pos:R:3 pbc="T T T"
Sc 0.0000 0.0000 0.0000
Ni 1.4350 -1.7832 -0.7581
Ni -1.5105 -1.6203 0.9521
Ni -1.2136 -0.0917 -2.0815
Ba -1.2892 -3.4953 -1.8874
```

electronic total energy = -4.70 eV per atom
energy of formation from the pure elements = 0.421 eV/atom
crystal system = cubic



(5)
Here is a relaxed structure of BaScNi2 from Alexandria via LeMat-Bulk. Energies are from GGA-PBE.

The structure in extended XYZ format:
```
4
Lattice="5.0595 -0.0308 0.0745 -0.0714 5.0591 -0.0745 -2.0208 -2.9837 3.5524" Properties=species:S:1:pos:R:3 pbc="T T T"
Ba 0.2009 2.2948 1.7390
Ni 4.6891 4.7270 0.0000
Ni 2.7930 2.8156 0.0000
Sc 2.7664 -0.2501 1.8134
```

electronic total energy = -4.77 eV per atom
energy of formation from the pure elements = 0.180 eV/atom
crystal system = orthorhombic



(6)
Here is a relaxed structure of BaScNi4 from Alexandria via LeMat-Bulk. Energies are from GGA-PBE.

The structure in extended XYZ format:
```
6
Lattice="-0.3074 -4.4965 2.4763 -4.4664 -1.5008 2.0600 -2.6081 -3.9107 -2.0853" Properties=species:S:1:pos:R:3 pbc="T T T"
Ba 0.0000 0.0000 0.0000
Sc -5.5364 -7.4310 1.8383
Ni -4.9811 -4.4734 1.9379
Ni -2.9338 -5.9481 2.1428
Ni -4.0664 -5.6597 -0.1026
Ni -2.7825 -3.7347 0.9239
```

electronic total energy = -5.25 eV per atom
energy of formation from the pure elements = -0.016 eV/atom
crystal system = cubic



> Among the records above, which one has the lowest energy of formation from the pure elements?

number 2



> Which of these has the lowest energy of formation from the pure elements?

number 2



> Which of these has the lowest electronic total energy?

BaScNi4